[1]
Material: Co2Cu
Method: DFT, PBE
State: optimized geometry

```
data_Co2Cu
_chemical_formula_sum 'Co4 Cu2'
_cell_length_a 2.5411
_cell_length_b 2.5411
_cell_length_c 10.5072
_cell_angle_alpha 90.00
_cell_angle_beta 90.00
_cell_angle_gamma 90.00
_symmetry_space_group_name_H-M 'I 4/m m m'
_symmetry_Int_Tables_number 139
_symmetry_space_group_name_Hall '-I 4 2'
loop_
_atom_site_label
_atom_site_fract_x
_atom_site_fract_y
_atom_site_fract_z
Co1 0.0000 0.0000 0.1738
Cu1 0.0000 0.0000 0.5000
```

=====

[2]
Material: CoCu
Method: DFT, PBE
State: optimized geometry

```
data_CoCu
_chemical_formula_sum 'Co8 Cu8'
_cell_length_a 4.2382
_cell_length_b 5.1815
_cell_length_c 8.3800
_cell_angle_alpha 90.00
_cell_angle_beta 90.00
_cell_angle_gamma 90.00
_symmetry_space_group_name_H-M 'P 21 21 21'
_symmetry_Int_Tables_number 19
loop_
_symmetry_equiv_pos_as_xyz
'x,y,z'
'-x+1/2,-y,z+1/2'
'x+1/2,-y+1/2,-z'
'-x,y+1/2,-z+1/2'
loop_
_atom_site_label
_atom_site_fract_x
_atom_site_fract_y
_atom_site_fract_z
Co1 0.1792 0.0183 0.1248
Co2 0.1792 0.2489 0.8764
Cu1 0.1762 0.5092 0.1277
Cu2 0.1761 0.7472 0.8745
```

=====

[3]
Material: CoCu2
Method: DFT, PBE
State: optimized geometry

```
data_CoCu2
_chemical_formula_sum 'Co2 Cu4'
_cell_length_a 4.0761
_cell_length_b 4.0761
_cell_length_c 4.9289
_cell_angle_alpha 90.00
_cell_angle_beta 90.00
_cell_angle_gamma 120.00
_symmetry_space_group_name_H-M 'P 63/m m c'
_symmetry_Int_Tables_number 194
_symmetry_space_group_name_Hall '-P 6c 2c'
loop_
_atom_site_label
_atom_site_fract_x
_atom_site_fract_y
_atom_site_fract_z
Co1 0.3333 0.6667 0.2500
Cu1 0.0000 0.0000 0.0000
Cu2 0.3333 0.6667 0.7500
```

=====

One value per record, in order, for D(E_F): 7.09 15.30 11.68 states/eV per cell.
One value per record, in order, for formation energy from the elements: 113 172 304 meV per atom.